Entry 1:
Zr2Zn3Sn | Alexandria via LeMat-Bulk | PBE-GGA | optimized geometry; SG = Fmmm, No. 69; final energy = -0.1651 hartree per atom
1.0
-5.0557 -1.6981 -1.4102
0.2766 -5.4396 -0.8756
0.7496 2.2914 8.5607
Zr Zn Sn
4 6 2
Cartesian
-3.3478 -1.4878 3.0038 Zr
-3.7305 -2.6279 -1.2773 Zr
-0.6817 -3.3585 3.2711 Zr
-1.0485 -4.5098 -1.0084 Zr
-3.8901 -5.6221 -0.5454 Zn
-2.6146 -2.9210 5.6365 Zn
-0.1394 0.7758 6.8203 Zn
-1.4149 -1.9253 0.6385 Zn
-0.5267 -0.4103 2.3824 Zn
-3.5028 -4.4360 3.8926 Zn
-2.9354 -3.9941 1.3263 Sn
-1.0941 -0.8522 4.9487 Sn

---

Entry 2:
ZrSn | Alexandria via LeMat-Bulk | PBE-GGA | optimized geometry; SG = P-6m2, No. 187; final energy = -0.2379 hartree per atom
1.0
3.1926 -5.5298 0.0000
3.1926 5.5298 0.0000
0.0000 0.0000 5.2536
Zr Sn
4 4
Cartesian
4.7870 -2.7638 0.0000 Zr
3.1926 -0.0022 0.0000 Zr
1.5982 -2.7638 0.0000 Zr
3.1926 1.8433 2.6268 Zr
0.0000 0.0000 0.0000 Sn
1.6259 -0.9387 2.6268 Sn
3.1926 -3.6523 2.6268 Sn
4.7593 -0.9387 2.6268 Sn

---

Entry 3:
ZrSn | Alexandria via LeMat-Bulk | PBE-GGA | optimized geometry; SG = I4/mmm, No. 139; final energy = -0.2436 hartree per atom
1.0
-3.7571 8.6265 3.4076
-4.1401 1.7302 -8.9448
-3.2456 -1.8645 1.1416
Zr Sn
8 8
Cartesian
-2.5455 5.8447 2.3087 Zr
-1.2116 2.7818 1.0988 Zr
-1.3351 0.5579 -2.8845 Zr
-2.8050 1.1723 -6.0604 Zr
-4.3598 1.4643 -3.2967 Zr
-6.7829 7.0279 -1.0990 Zr
-6.9064 4.8040 -5.0823 Zr
-4.2363 3.6882 0.6866 Zr
-5.2612 6.8997 -3.6890 Sn
-3.8849 6.3246 -0.7156 Sn
-4.0122 4.0321 -4.8217 Sn
-2.6360 3.4570 -1.8483 Sn
-2.9354 0.7891 -0.3496 Sn
-5.6992 1.9442 -6.3210 Sn
-5.4435 6.5480 1.9253 Sn
-8.2074 7.7031 -4.0462 Sn

---

| no. | DOS(E_F) (states/eV per atom) | magnetization (μB/f.u.) | volume (A^3/atom) |
| --- | --- | --- | --- |
| 1 | 0.40 | 0.00 | 18.6 |
| 2 | 1.14 | 0.00 | 23.2 |
| 3 | 0.58 | 0.00 | 24.5 |